# InGa2Os2 | Alexandria | PBE | optimized geometry
data_InGa2Os2
_chemical_formula_sum 'In2 Ga4 Os4'
_cell_length_a 7.454
_cell_length_b 7.454
_cell_length_c 2.881
_cell_angle_alpha 90.00
_cell_angle_beta 90.00
_cell_angle_gamma 90.00
_symmetry_space_group_name_H-M 'P 1'
_symmetry_Int_Tables_number 1
_symmetry_space_group_name_Hall 'P 1'
loop_
_atom_site_label
_atom_site_type_symbol
_atom_site_fract_x
_atom_site_fract_y
_atom_site_fract_z
_atom_site_occupancy
In1 In 0.000 0.000 0.000 1
In2 In 0.500 0.500 0.000 1
Ga1 Ga 0.130 0.370 0.000 1
Ga2 Ga 0.370 0.870 0.000 1
Ga3 Ga 0.630 0.130 0.000 1
Ga4 Ga 0.870 0.630 0.000 1
Os1 Os 0.166 0.666 0.500 1
Os2 Os 0.334 0.166 0.500 1
Os3 Os 0.666 0.834 0.500 1
Os4 Os 0.834 0.334 0.500 1
# - DFT formation energy (eV/f.u.) = 1.3
# - V (Å³ per atom) = 16.006
# - magnetization (μB/cell) = 0.00


# InGaOs3 | Alexandria | PBE | optimized geometry
data_InGaOs3
_chemical_formula_sum 'In1 Ga1 Os3'
_cell_length_a 4.547
_cell_length_b 4.547
_cell_length_c 4.547
_cell_angle_alpha 90.00
_cell_angle_beta 90.00
_cell_angle_gamma 90.00
_symmetry_space_group_name_H-M 'P 1'
_symmetry_Int_Tables_number 1
_symmetry_space_group_name_Hall 'P 1'
loop_
_atom_site_label
_atom_site_type_symbol
_atom_site_fract_x
_atom_site_fract_y
_atom_site_fract_z
_atom_site_occupancy
In1 In 0.000 0.000 0.000 1
Ga1 Ga 0.500 0.500 0.500 1
Os1 Os 0.000 0.500 0.500 1
Os2 Os 0.500 0.000 0.500 1
Os3 Os 0.500 0.500 0.000 1
# - DFT formation energy (eV/f.u.) = 8.2
# - V (Å³ per atom) = 18.808
# - magnetization (μB/cell) = 1.65


# RbInGa2Os | Alexandria | PBE | optimized geometry
data_RbInGa2Os
_chemical_formula_sum 'Rb1 In1 Ga2 Os1'
_cell_length_a 4.950
_cell_length_b 4.950
_cell_length_c 5.237
_cell_angle_alpha 90.00
_cell_angle_beta 90.00
_cell_angle_gamma 90.00
_symmetry_space_group_name_H-M 'P 1'
_symmetry_Int_Tables_number 1
_symmetry_space_group_name_Hall 'P 1'
loop_
_atom_site_label
_atom_site_type_symbol
_atom_site_fract_x
_atom_site_fract_y
_atom_site_fract_z
_atom_site_occupancy
Rb1 Rb 0.000 0.000 0.000 1
In1 In 0.500 0.500 0.000 1
Ga1 Ga 0.000 0.500 0.500 1
Ga2 Ga 0.500 0.000 0.500 1
Os1 Os 0.500 0.500 0.500 1
# - DFT formation energy (eV/f.u.) = -0.6
# - V (Å³ per atom) = 25.661
# - magnetization (μB/cell) = 0.00


# Sc4InGa2Os | Alexandria | PBE | optimized geometry
data_Sc4InGa2Os
_chemical_formula_sum 'Sc4 In1 Ga2 Os1'
_cell_length_a 8.237
_cell_length_b 8.237
_cell_length_c 8.237
_cell_angle_alpha 33.63
_cell_angle_beta 33.63
_cell_angle_gamma 33.63
_symmetry_space_group_name_H-M 'P 1'
_symmetry_Int_Tables_number 1
_symmetry_space_group_name_Hall 'P 1'
loop_
_atom_site_label
_atom_site_type_symbol
_atom_site_fract_x
_atom_site_fract_y
_atom_site_fract_z
_atom_site_occupancy
Sc1 Sc 0.117 0.117 0.117 1
Sc2 Sc 0.370 0.370 0.370 1
Sc3 Sc 0.630 0.630 0.630 1
Sc4 Sc 0.883 0.883 0.883 1
In1 In 0.500 0.500 0.500 1
Ga1 Ga 0.249 0.249 0.249 1
Ga2 Ga 0.751 0.751 0.751 1
Os1 Os 0.000 0.000 0.000 1
# - DFT formation energy (eV/f.u.) = -4.2
# - V (Å³ per atom) = 19.090
# - magnetization (μB/cell) = 0.00


# TiInGa2Os | Alexandria | PBE | optimized geometry
data_TiInGa2Os
_chemical_formula_sum 'Ti1 In1 Ga2 Os1'
_cell_length_a 4.771
_cell_length_b 4.771
_cell_length_c 5.118
_cell_angle_alpha 90.00
_cell_angle_beta 90.00
_cell_angle_gamma 90.00
_symmetry_space_group_name_H-M 'P 1'
_symmetry_Int_Tables_number 1
_symmetry_space_group_name_Hall 'P 1'
loop_
_atom_site_label
_atom_site_type_symbol
_atom_site_fract_x
_atom_site_fract_y
_atom_site_fract_z
_atom_site_occupancy
Ti1 Ti 0.000 0.000 0.000 1
In1 In 0.000 0.000 0.500 1
Ga1 Ga 0.000 0.500 0.500 1
Ga2 Ga 0.500 0.000 0.500 1
Os1 Os 0.500 0.500 0.000 1
# - DFT formation energy (eV/f.u.) = 8.7
# - V (Å³ per atom) = 23.303
# - magnetization (μB/cell) = 0.00


# TlInGa2Os | Alexandria | PBE | optimized geometry
data_TlInGa2Os
_chemical_formula_sum 'Tl1 In1 Ga2 Os1'
_cell_length_a 4.877
_cell_length_b 4.877
_cell_length_c 5.247
_cell_angle_alpha 90.00
_cell_angle_beta 90.00
_cell_angle_gamma 90.00
_symmetry_space_group_name_H-M 'P 1'
_symmetry_Int_Tables_number 1
_symmetry_space_group_name_Hall 'P 1'
loop_
_atom_site_label
_atom_site_type_symbol
_atom_site_fract_x
_atom_site_fract_y
_atom_site_fract_z
_atom_site_occupancy
Tl1 Tl 0.000 0.000 0.000 1
In1 In 0.500 0.500 0.000 1
Ga1 Ga 0.000 0.500 0.500 1
Ga2 Ga 0.500 0.000 0.500 1
Os1 Os 0.500 0.500 0.500 1
# - DFT formation energy (eV/f.u.) = 0.2
# - V (Å³ per atom) = 24.955
# - magnetization (μB/cell) = 0.00


# InGaP3 | Alexandria | PBE | optimized geometry
data_InGaP3
_chemical_formula_sum 'In1 Ga1 P3'
_cell_length_a 4.759
_cell_length_b 4.759
_cell_length_c 4.759
_cell_angle_alpha 90.00
_cell_angle_beta 90.00
_cell_angle_gamma 90.00
_symmetry_space_group_name_H-M 'P 1'
_symmetry_Int_Tables_number 1
_symmetry_space_group_name_Hall 'P 1'
loop_
_atom_site_label
_atom_site_type_symbol
_atom_site_fract_x
_atom_site_fract_y
_atom_site_fract_z
_atom_site_occupancy
In1 In 0.000 0.000 0.000 1
Ga1 Ga 0.500 0.500 0.500 1
P1 P 0.000 0.500 0.500 1
P2 P 0.500 0.000 0.500 1
P3 P 0.500 0.500 0.000 1
# - DFT formation energy (eV/f.u.) = 3.9
# - V (Å³ per atom) = 21.554
# - magnetization (μB/cell) = 0.00


# InGa2P2 | Alexandria | PBE | optimized geometry
data_InGa2P2
_chemical_formula_sum 'In1 Ga2 P2'
_cell_length_a 5.675
_cell_length_b 5.675
_cell_length_c 5.675
_cell_angle_alpha 131.53
_cell_angle_beta 131.53
_cell_angle_gamma 70.97
_symmetry_space_group_name_H-M 'P 1'
_symmetry_Int_Tables_number 1
_symmetry_space_group_name_Hall 'P 1'
loop_
_atom_site_label
_atom_site_type_symbol
_atom_site_fract_x
_atom_site_fract_y
_atom_site_fract_z
_atom_site_occupancy
In1 In 0.000 0.000 0.000 1
Ga1 Ga 0.362 0.362 0.000 1
Ga2 Ga 0.638 0.638 0.000 1
P1 P 0.250 0.750 0.500 1
P2 P 0.750 0.250 0.500 1
# - DFT formation energy (eV/f.u.) = 0.4
# - V (Å³ per atom) = 20.056
# - magnetization (μB/cell) = 0.00